A plane-wave DFT calculation with PBE was carried out for Hf2ZrPd4 after structural relaxation.

Cell: 4.9040 4.9040 13.3800 Å, 90.00 90.00 90.00°
Sites, in units of the cell vectors:
Hf  0.0000  0.0000  0.1149
Hf  0.0000  0.0000  0.8851
Hf  0.5000  0.5000  0.3851
Hf  0.5000  0.5000  0.6149
Zr  0.0000  0.0000  0.5000
Zr  0.5000  0.5000  0.0000
Pd  0.0000  0.0000  0.3032
Pd  0.0000  0.0000  0.6968
Pd  0.0000  0.5000  0.0000
Pd  0.0000  0.5000  0.5000
Pd  0.5000  0.0000  0.0000
Pd  0.5000  0.0000  0.5000
Pd  0.5000  0.5000  0.1968
Pd  0.5000  0.5000  0.8032

E_form   1.872 eV/f.u.
Size of the total moment   0.0000 μB/atom
DOS(E_F)   6.2 states/eV/f.u.
VASP energy   -6.7649 eV per atom